# 1
Entry from Alexandria via LeMat-Bulk: a relaxed MgMn4Hg crystal (PBEsol).

Computed properties:
- formation enthalpy at 0 K (kJ/mol of formula units) = 229

abc: 4.8431 4.8431 4.8431
angles: 60.00 60.00 60.00
Closest atoms and distances in Å follow each position.
Positions (direct):
Mg 0.0000 0.0000 0.0000  12 Mn 2.84, 4 Hg 2.97
Mn 0.3737 0.3737 0.3737  6 Mn 2.40-2.45
Mn 0.3737 0.3737 0.8790  6 Mn 2.40-2.45
Mn 0.3737 0.8790 0.3737  6 Mn 2.40-2.45
Mn 0.8790 0.3737 0.3737  6 Mn 2.40-2.45
Hg 0.7500 0.7500 0.7500  12 Mn 2.84, 4 Mg 2.97

=====

# 2
Entry from Alexandria via LeMat-Bulk: a relaxed HfIr3 crystal (PBEsol).

Computed properties:
- formation enthalpy at 0 K (kJ/mol of formula units) = -313

abc: 3.9181 3.9181 3.9181
angles: 90.00 90.00 90.00
Closest atoms and distances in Å follow each position.
Positions (direct):
Hf 0.0000 0.0000 0.0000  12 Ir 2.77
Ir 0.0000 0.5000 0.5000  4 Hf 2.77, 8 Ir 2.77
Ir 0.5000 0.0000 0.5000  4 Hf 2.77, 8 Ir 2.77
Ir 0.5000 0.5000 0.0000  4 Hf 2.77, 8 Ir 2.77

=====

# 3
Entry from Alexandria via LeMat-Bulk: a relaxed MnCdRu crystal (PBEsol).

Computed properties:
- formation enthalpy at 0 K (kJ/mol of formula units) = 93

abc: 2.7134 2.7134 6.7008
angles: 90.00 90.00 120.00
Closest atoms and distances in Å follow each position.
Positions (direct):
Mn 0.0000 0.0000 0.0000  3 Ru 2.43, 6 Mn 2.71
Cd 0.6667 0.3333 0.3516  6 Cd 2.71, 3 Mn 2.83, 3 Ru 2.94
Ru 0.3333 0.6667 0.7232  3 Mn 2.43, 6 Ru 2.71

=====

# 4
Entry from Alexandria via LeMat-Bulk: a relaxed TiCuGeAs crystal (PBEsol).

Computed properties:
- formation enthalpy at 0 K (kJ/mol of formula units) = -186

abc: 3.5972 3.5972 9.1130
angles: 90.00 90.00 90.00
Closest atoms and distances in Å follow each position.
Positions (direct):
Ti 0.2500 0.2500 0.2246  4 As 2.66, 4 Ge 2.72
Ti 0.7500 0.7500 0.7754  4 As 2.66, 4 Ge 2.72
Cu 0.2500 0.7500 0.5000  4 As 2.48, 4 Cu 2.54
Cu 0.7500 0.2500 0.5000  4 As 2.48, 4 Cu 2.54
Ge 0.2500 0.7500 0.0000  4 Ge 2.54, 4 Ti 2.72
Ge 0.7500 0.2500 0.0000  4 Ge 2.54, 4 Ti 2.72
As 0.2500 0.2500 0.6881  4 Cu 2.48, 4 Ti 2.66
As 0.7500 0.7500 0.3119  4 Cu 2.48, 4 Ti 2.66

=====

# 5
Entry from Alexandria via LeMat-Bulk: a relaxed CaMgAuO2 crystal (PBEsol).

Computed properties:
- ΔE_f (raw) (eV per formula unit) = -1.175

abc: 4.1450 4.1450 6.8967
angles: 90.00 90.00 90.00
Closest atoms and distances in Å follow each position.
Positions (direct):
Ca 0.0000 0.0000 0.0000  4 O 2.07
Mg 0.0000 0.0000 0.5000  4 Au 2.93
Au 0.5000 0.5000 0.5000  4 Mg 2.93
O 0.0000 0.5000 0.0000  2 Ca 2.07
O 0.5000 0.0000 0.0000  2 Ca 2.07

=====

# 6
Entry from Alexandria via LeMat-Bulk: a relaxed ZnPt2 crystal (PBEsol).

Computed properties:
- formation enthalpy at 0 K (kJ/mol of formula units) = -110

abc: 5.9047 5.9047 5.9047
angles: 152.84 152.84 38.78
Closest atoms and distances in Å follow each position.
Positions (direct):
Zn 0.0000 0.0000 0.0000  8 Pt 2.64, 4 Zn 2.77
Pt 0.3409 0.3409 0.0000  4 Zn 2.64, 8 Pt 2.77-2.82
Pt 0.6591 0.6591 0.0000  4 Zn 2.64, 8 Pt 2.77-2.82

=====

Calculated volume, 80.3; 60.1; 42.7; 117.9; 118.5; 42.8 Å³/cell (same order as the records).